[1]
{
  "formula": "CaCdFe2",
  "functional": "GGA-PBE",
  "state": "optimized geometry",
  "lattice": [[3.561, 0.000, 0.000], [0.000, 3.561, 0.000], [0.000, 0.000, 6.365]],
  "species": ["Ca", "Cd", "Fe", "Fe"],
  "frac_coords": [[0.000, 0.000, 0.000], [0.000, 0.000, 0.500], [0.500, 0.500, 0.325], [0.500, 0.500, 0.675]],
  "energy_ev_per_atom": -4.494
}



[2]
{
  "formula": "CaCdFe3",
  "functional": "GGA-PBE",
  "state": "optimized geometry",
  "lattice": [[4.889, 0.000, 0.000], [0.000, 4.889, 0.000], [0.000, 0.000, 4.889]],
  "species": ["Ca", "Cd", "Fe", "Fe", "Fe"],
  "frac_coords": [[0.000, 0.000, 0.000], [0.500, 0.500, 0.500], [0.000, 0.500, 0.500], [0.500, 0.000, 0.500], [0.500, 0.500, 0.000]],
  "energy_ev_per_atom": -4.461
}



[3]
{
  "formula": "CaCdGa2Fe",
  "functional": "GGA-PBE",
  "state": "optimized geometry",
  "lattice": [[4.603, 0.000, 0.000], [0.000, 4.603, 0.000], [0.000, 0.000, 5.003]],
  "species": ["Ca", "Cd", "Ga", "Ga", "Fe"],
  "frac_coords": [[0.000, 0.000, 0.000], [0.500, 0.500, 0.000], [0.000, 0.500, 0.500], [0.500, 0.000, 0.500], [0.500, 0.500, 0.500]],
  "energy_ev_per_atom": -3.641
}



[4]
{
  "formula": "CaCd2FeIr",
  "functional": "GGA-PBE",
  "state": "optimized geometry",
  "lattice": [[5.170, 0.000, 0.000], [0.000, 5.170, 0.000], [0.000, 0.000, 4.065]],
  "species": ["Ca", "Cd", "Cd", "Fe", "Ir"],
  "frac_coords": [[0.000, 0.000, 0.000], [0.000, 0.500, 0.000], [0.500, 0.000, 0.000], [0.000, 0.000, 0.500], [0.500, 0.500, 0.500]],
  "energy_ev_per_atom": -2.288
}